Density functional theory data (PBE) for crystalline ThZnIn2 at its relaxed geometry.

```
ThZnIn2
1.0
3.623 0.000 0.000
0.000 3.623 0.000
0.000 0.000 7.508
Th Zn In
1 1 2
direct
0.000 0.000 0.000 Th
0.000 0.000 0.500 Zn
0.500 0.500 0.294 In
0.500 0.500 0.706 In
```

Computed properties:
For the calculated formation energy, the calculation gives -0.12 eV/atom. The total DFT energy (no corrections) comes out at -0.2695 Ry per atom. The calculation puts the magnetic moment at 0.000 μB/cell.



Density functional theory data (PBE) for crystalline OsAuSe2 at its relaxed geometry.

```
OsAuSe2
1.0
0.000 3.296 3.296
3.296 0.000 3.296
3.296 3.296 0.000
Os Au Se
1 1 2
direct
0.000 0.000 0.000 Os
0.250 0.250 0.250 Au
0.500 0.500 0.500 Se
0.750 0.750 0.750 Se
```

Computed properties:
The total DFT energy (no corrections) comes out at -0.3166 Ry per atom. The calculation puts the magnetic moment at 0.901 μB/cell. Its formation energy without anion corrections is 1.0610 eV per atom.



What did the second record say?
Density functional theory data (PBE) for crystalline OsAuSe2 at its relaxed geometry.

```
OsAuSe2
1.0
0.000 3.296 3.296
3.296 0.000 3.296
3.296 3.296 0.000
Os Au Se
1 1 2
direct
0.000 0.000 0.000 Os
0.250 0.250 0.250 Au
0.500 0.500 0.500 Se
0.750 0.750 0.750 Se
```

Computed properties:
The total DFT energy (no corrections) comes out at -0.3166 Ry per atom. The calculation puts the magnetic moment at 0.901 μB/cell. Its formation energy without anion corrections is 1.0610 eV per atom.



> Which formula does entry 2 have?

OsAuSe2



> What is the formula in the second record?

OsAuSe2



> Which value of total DFT energy (no corrections) does entry 2 give?

-0.3166 Ry per atom